# 1
VASP calculation (PBE) on crystalline Rb2NbHIr at its relaxed geometry.

Its crystal system is tetragonal. The electronic total energy is -16.38 eV per cell.

Cell: 6.713 6.713 3.555 Å, 90.00 90.00 90.00°
Space group P4/mmm (No. 123)
Symmetry-distinct sites (fractional):
Rb (0.000, 0.500, 0.000) x2
Nb (0.000, 0.000, 0.000) x1
H (0.000, 0.000, 0.500) x1
Ir (0.500, 0.500, 0.500) x1


# 2
VASP calculation (PBE) on crystalline RbNbHIr2 at its relaxed geometry.

Its crystal system is tetragonal. The electronic total energy is -13.75 eV per cell.

Cell: 4.858 4.858 5.016 Å, 90.00 90.00 90.00°
Space group P4/mmm (No. 123)
Symmetry-distinct sites (fractional):
Rb (0.000, 0.000, 0.000) x1
Nb (0.000, 0.000, 0.500) x1
H (0.500, 0.500, 0.500) x1
Ir (0.000, 0.500, 0.000) x2


# 3
VASP calculation (PBE) on crystalline NbReHIr2 at its relaxed geometry.

The energy above the most stable polymorph in this dataset is 0.119 eV/f.u. Its crystal system is tetragonal.

Cell: 3.924 3.924 4.121 Å, 90.00 90.00 90.00°
Space group P4/mmm (No. 123)
Symmetry-distinct sites (fractional):
Nb (0.000, 0.000, 0.000) x1
Re (0.500, 0.500, 0.000) x1
H (0.000, 0.000, 0.500) x1
Ir (0.000, 0.500, 0.500) x2


# 4
VASP calculation (PBE) on crystalline NbReHIr2 at its relaxed geometry.

The energy above the most stable polymorph in this dataset is 0.000 eV/f.u. Its crystal system is tetragonal.

Cell: 3.956 3.956 4.055 Å, 90.00 90.00 90.00°
Space group P4/mmm (No. 123)
Symmetry-distinct sites (fractional):
Nb (0.000, 0.000, 0.000) x1
Re (0.500, 0.500, 0.000) x1
H (0.500, 0.500, 0.500) x1
Ir (0.000, 0.500, 0.500) x2


# 5
VASP calculation (PBE) on crystalline Nb2ReHIr at its relaxed geometry.

The energy above the most stable polymorph in this dataset is 0.043 eV/f.u. Its crystal system is tetragonal.

Cell: 4.294 4.294 3.694 Å, 90.00 90.00 90.00°
Space group P4/mmm (No. 123)
Symmetry-distinct sites (fractional):
Nb (0.000, 0.500, 0.000) x2
Re (0.000, 0.000, 0.500) x1
H (0.500, 0.500, 0.000) x1
Ir (0.500, 0.500, 0.500) x1


# 6
VASP calculation (PBE) on crystalline Nb2ReHIr at its relaxed geometry.

The energy above the most stable polymorph in this dataset is 0.000 eV/f.u. Its crystal system is tetragonal.

Cell: 4.177 4.177 3.878 Å, 90.00 90.00 90.00°
Space group P4/mmm (No. 123)
Symmetry-distinct sites (fractional):
Nb (0.000, 0.500, 0.000) x2
Re (0.000, 0.000, 0.500) x1
H (0.000, 0.000, 0.000) x1
Ir (0.500, 0.500, 0.500) x1